No. 1
SmZrNp2P4: relaxed, PBE.

Results
Crystal system: monoclinic
Total magnetic moment, μB/f.u.: 7.5
ΔE_f, meV per atom: -1169.3
Total DFT energy (no corrections), eV per cell: -70.1

a = 6.786 Å, b = 3.936 Å, c = 6.840 Å
α = 90.00°, β = 109.42°, γ = 90.00°
Atoms (fractional coordinates):
1 Sm 0.000 0.000 0.000
2 Zr 0.000 0.500 0.500
3 Np 0.500 0.000 0.500
4 Np 0.500 0.500 0.000
5 P 0.247 0.000 0.738
6 P 0.255 0.500 0.264
7 P 0.745 0.500 0.736
8 P 0.753 0.000 0.262

No. 2
NpSnP: relaxed, PBE.

Results
Crystal system: orthorhombic
Total magnetic moment, μB/f.u.: 3.7
ΔE_f, meV per atom: -343.0
Total DFT energy (no corrections), eV per cell: -46.8

a = 8.090 Å, b = 8.090 Å, c = 4.179 Å
α = 90.00°, β = 90.00°, γ = 151.97°
Atoms (fractional coordinates):
1 Np 0.082 0.918 0.750
2 Np 0.918 0.082 0.250
3 Sn 0.240 0.760 0.250
4 Sn 0.760 0.240 0.750
5 P 0.429 0.571 0.750
6 P 0.571 0.429 0.250

No. 3
Sr2NpP3: relaxed, PBE.

Results
Crystal system: tetragonal
Total magnetic moment, μB/f.u.: 2.0
ΔE_f, meV per atom: -846.8
Total DFT energy (no corrections), eV per cell: -37.6

a = 9.386 Å, b = 9.386 Å, c = 9.386 Å
α = 154.08°, β = 154.08°, γ = 36.99°
Atoms (fractional coordinates):
1 Sr 0.169 0.169 0.000
2 Sr 0.831 0.831 0.000
3 Np 0.500 0.500 0.000
4 P 0.000 0.000 0.000
5 P 0.353 0.353 0.000
6 P 0.647 0.647 0.000

No. 4
Sr2ThNpP4: relaxed, PBE.

Results
Crystal system: monoclinic
Total magnetic moment, μB/f.u.: 3.0
ΔE_f, meV per atom: -1151.6
Total DFT energy (no corrections), eV per cell: -54.6

a = 7.263 Å, b = 4.202 Å, c = 7.383 Å
α = 90.00°, β = 109.18°, γ = 90.00°
Atoms (fractional coordinates):
1 Sr 0.000 0.000 0.000
2 Sr 0.500 0.500 0.000
3 Th 0.000 0.500 0.500
4 Np 0.500 0.000 0.500
5 P 0.249 0.000 0.721
6 P 0.270 0.500 0.285
7 P 0.730 0.500 0.715
8 P 0.751 0.000 0.279

No. 5
Sr3NpU2P6: relaxed, PBE.

Results
Crystal system: monoclinic
Total magnetic moment, μB/f.u.: 7.0
ΔE_f, meV per atom: -1007.4
Total DFT energy (no corrections), eV per cell: -85.1

a = 7.125 Å, b = 7.125 Å, c = 7.317 Å
α = 99.34°, β = 99.34°, γ = 120.00°
Atoms (fractional coordinates):
1 Sr 0.000 0.000 0.000
2 Sr 0.334 0.666 0.000
3 Sr 0.666 0.334 0.000
4 Np 0.500 0.500 0.500
5 U 0.167 0.833 0.500
6 U 0.833 0.167 0.500
7 P 0.092 0.430 0.289
8 P 0.233 0.233 0.712
9 P 0.430 0.092 0.289
10 P 0.570 0.908 0.711
11 P 0.767 0.767 0.288
12 P 0.908 0.570 0.711

No. 6
Sr2NpUP4: relaxed, PBE.

Results
Crystal system: monoclinic
Total magnetic moment, μB/f.u.: 5.0
ΔE_f, meV per atom: -995.8
Total DFT energy (no corrections), eV per cell: -57.2

a = 7.127 Å, b = 4.117 Å, c = 7.314 Å
α = 90.00°, β = 108.98°, γ = 90.00°
Atoms (fractional coordinates):
1 Sr 0.000 0.000 0.000
2 Sr 0.500 0.500 0.000
3 Np 0.000 0.500 0.500
4 U 0.500 0.000 0.500
5 P 0.241 0.000 0.711
6 P 0.267 0.500 0.289
7 P 0.733 0.500 0.711
8 P 0.759 0.000 0.289

Question: What is the ΔE_f in the second record?
Answer: -343.0 meV per atom